Compound: Os2W
Source: Alexandria
Functional: PBE
Structure: optimized geometry

Output
Excess energy over the best structure of this formula in the dataset = 380 meV per atom
Energy of formation from the pure elements = 0.379 eV per atom

Cell: 12.2853 12.2853 12.2853 Å, 167.02 167.02 18.39°
Fractional positions:
Os1 0.2958 0.5458 0.7500
Os2 0.4542 0.7042 0.7500
Os3 0.5458 0.2958 0.2500
Os4 0.7042 0.4542 0.2500
W1 0.1250 0.8750 0.2500
W2 0.8750 0.1250 0.7500


Compound: MnTlCdTe3
Source: Alexandria
Functional: PBE
Structure: optimized geometry

Output
Formation energy without anion corrections = -0.25 eV/atom

Cell: 7.9170 4.1499 12.2871 Å, 90.00 106.76 90.00°
Fractional positions:
Mn1 0.1705 0.2500 0.1100
Mn2 0.8295 0.7500 0.8900
Tl1 0.2004 0.7500 0.6918
Tl2 0.7996 0.2500 0.3082
Cd1 0.3983 0.7500 0.3798
Cd2 0.6017 0.2500 0.6202
Te1 0.0540 0.2500 0.8744
Te2 0.2297 0.2500 0.4693
Te3 0.4106 0.7500 0.1519
Te4 0.5894 0.2500 0.8481
Te5 0.7703 0.7500 0.5307
Te6 0.9460 0.7500 0.1256


Compound: Tm5ZnCu2
Source: Alexandria
Functional: PBE
Structure: optimized geometry

Output
Energy of formation from the pure elements = -0.192 eV per atom

Cell: 8.3386 8.3386 8.3386 Å, 125.16 125.16 81.28°
Fractional positions:
Tm1 0.0000 0.0000 0.0000
Tm2 0.0154 0.5154 0.8189
Tm3 0.1965 0.0154 0.5000
Tm4 0.3035 0.8035 0.8189
Tm5 0.4846 0.3035 0.5000
Tm6 0.5000 0.5000 0.0000
Tm7 0.5154 0.6965 0.5000
Tm8 0.6965 0.1965 0.1811
Tm9 0.8035 0.9846 0.5000
Tm10 0.9846 0.4846 0.1811
Zn1 0.2500 0.2500 0.0000
Zn2 0.7500 0.7500 0.0000
Cu1 0.1268 0.3732 0.5000
Cu2 0.3732 0.8732 0.2464
Cu3 0.6268 0.1268 0.7536
Cu4 0.8732 0.6268 0.5000


Compound: PaMo2Os
Source: Alexandria
Functional: PBE
Structure: optimized geometry

Output
Excess energy over the best structure of this formula in the dataset = 0 meV per atom
Energy of formation from the pure elements = 0.157 eV per atom

Cell: 3.8564 3.8564 4.9223 Å, 90.00 90.00 90.00°
Fractional positions:
Pa1 0.0000 0.0000 0.0000
Mo1 0.0000 0.5000 0.5000
Mo2 0.5000 0.0000 0.5000
Os1 0.5000 0.5000 0.0000